No. 1
A plane-wave DFT calculation with GGA-PBE was carried out for an optimized crystal structure of Ag3Sn5S12.

POSCAR file:
```
Ag3Sn5S12
1.0
-7.828 7.828 7.828
7.828 -7.828 7.828
7.828 7.828 -7.828
Ag Sn S
12 20 48
direct
0.125 0.250 0.375 Ag
0.125 0.375 0.750 Ag
0.250 0.375 0.125 Ag
0.250 0.875 0.625 Ag
0.375 0.125 0.250 Ag
0.375 0.750 0.125 Ag
0.625 0.250 0.875 Ag
0.625 0.875 0.750 Ag
0.750 0.125 0.375 Ag
0.750 0.625 0.875 Ag
0.875 0.625 0.250 Ag
0.875 0.750 0.625 Ag
0.000 0.000 0.000 Sn
0.000 0.000 0.500 Sn
0.000 0.500 0.000 Sn
0.000 0.500 0.500 Sn
0.125 0.750 0.875 Sn
0.125 0.875 0.250 Sn
0.250 0.125 0.875 Sn
0.250 0.625 0.375 Sn
0.375 0.250 0.625 Sn
0.375 0.625 0.750 Sn
0.500 0.000 0.000 Sn
0.500 0.000 0.500 Sn
0.500 0.500 0.000 Sn
0.500 0.500 0.500 Sn
0.625 0.375 0.250 Sn
0.625 0.750 0.375 Sn
0.750 0.375 0.625 Sn
0.750 0.875 0.125 Sn
0.875 0.125 0.750 Sn
0.875 0.250 0.125 Sn
0.040 0.215 0.127 S
0.040 0.325 0.913 S
0.087 0.627 0.412 S
0.087 0.960 0.675 S
0.088 0.715 0.675 S
0.088 0.873 0.413 S
0.127 0.040 0.215 S
0.127 0.587 0.912 S
0.175 0.215 0.588 S
0.175 0.460 0.587 S
0.215 0.127 0.040 S
0.215 0.588 0.175 S
0.285 0.325 0.912 S
0.285 0.460 0.373 S
0.325 0.912 0.285 S
0.325 0.913 0.040 S
0.373 0.285 0.460 S
0.373 0.588 0.913 S
0.412 0.087 0.627 S
0.412 0.825 0.785 S
0.413 0.088 0.873 S
0.413 0.825 0.540 S
0.460 0.373 0.285 S
0.460 0.587 0.175 S
0.540 0.413 0.825 S
0.540 0.627 0.715 S
0.587 0.175 0.460 S
0.587 0.912 0.127 S
0.588 0.175 0.215 S
0.588 0.913 0.373 S
0.627 0.412 0.087 S
0.627 0.715 0.540 S
0.675 0.087 0.960 S
0.675 0.088 0.715 S
0.715 0.540 0.627 S
0.715 0.675 0.088 S
0.785 0.412 0.825 S
0.785 0.873 0.960 S
0.825 0.540 0.413 S
0.825 0.785 0.412 S
0.873 0.413 0.088 S
0.873 0.960 0.785 S
0.912 0.127 0.587 S
0.912 0.285 0.325 S
0.913 0.040 0.325 S
0.913 0.373 0.588 S
0.960 0.675 0.087 S
0.960 0.785 0.873 S
```

Computed properties:
uncorrected energy: -4.0189 eV/atom

No. 2
A plane-wave DFT calculation with GGA-PBE was carried out for an optimized crystal structure of AgSn2S2.

POSCAR file:
```
AgSn2S2
1.0
-2.694 2.694 4.273
2.694 -2.694 4.273
2.694 2.694 -4.273
Ag Sn S
1 2 2
direct
0.000 0.000 0.000 Ag
0.325 0.325 0.000 Sn
0.675 0.675 0.000 Sn
0.250 0.750 0.500 S
0.750 0.250 0.500 S
```

Computed properties:
uncorrected energy: -3.8185 eV/atom

No. 3
A plane-wave DFT calculation with GGA-PBE was carried out for an optimized crystal structure of Ag2SnS3.

POSCAR file:
```
Ag2SnS3
1.0
-2.045 6.150 2.984
2.045 -6.150 2.984
2.045 6.150 -2.984
Ag Sn S
2 1 3
direct
0.166 0.000 0.166 Ag
0.834 0.000 0.834 Ag
0.532 0.032 0.500 Sn
0.275 0.275 0.000 S
0.583 0.247 0.335 S
0.912 0.247 0.665 S
```

Computed properties:
uncorrected energy: -3.9079 eV/atom

No. 4
A plane-wave DFT calculation with GGA-PBE was carried out for an optimized crystal structure of AgSnS3.

POSCAR file:
```
AgSnS3
1.0
4.851 0.000 0.000
0.000 4.851 0.000
0.000 0.000 4.851
Ag Sn S
1 1 3
direct
0.000 0.000 0.000 Ag
0.500 0.500 0.500 Sn
0.000 0.000 0.500 S
0.000 0.500 0.000 S
0.500 0.000 0.000 S
```

Computed properties:
uncorrected energy: -3.4239 eV/atom

No. 5
A plane-wave DFT calculation with GGA-PBE was carried out for an optimized crystal structure of AgSn2S2.

POSCAR file:
```
AgSn2S2
1.0
7.815 0.000 0.000
0.000 7.815 0.000
0.000 0.000 3.892
Ag Sn S
2 4 4
direct
0.000 0.000 0.000 Ag
0.500 0.500 0.000 Ag
0.160 0.340 0.000 Sn
0.340 0.840 0.000 Sn
0.660 0.160 0.000 Sn
0.840 0.660 0.000 Sn
0.175 0.675 0.500 S
0.325 0.175 0.500 S
0.675 0.825 0.500 S
0.825 0.325 0.500 S
```

Computed properties:
uncorrected energy: -3.8181 eV/atom

No. 6
A plane-wave DFT calculation with GGA-PBE was carried out for an optimized crystal structure of Ag3SnS3.

POSCAR file:
```
Ag3SnS3
1.0
3.575 2.064 6.967
-3.575 2.064 6.967
0.000 -4.128 6.967
Ag Sn S
6 2 6
direct
0.130 0.869 0.364 Ag
0.131 0.636 0.870 Ag
0.364 0.130 0.869 Ag
0.636 0.870 0.131 Ag
0.869 0.364 0.130 Ag
0.870 0.131 0.636 Ag
0.333 0.333 0.333 Sn
0.667 0.667 0.667 Sn
0.074 0.471 0.695 S
0.305 0.926 0.529 S
0.471 0.695 0.074 S
0.529 0.305 0.926 S
0.695 0.074 0.471 S
0.926 0.529 0.305 S
```

Computed properties:
uncorrected energy: -3.6612 eV/atom